VASP calculation (GGA-PBE) on a relaxed structure of Li2Pt.

For the density of states at the Fermi level, the calculation gives 0.089 states/eV per atom. Its energy above the most stable polymorph in this dataset is 153 meV/atom. The space group is P6_3/mmc (194). Its magnetization is 0.00 μB per cell. For the energy of formation from the pure elements, the calculation gives -39.5 kJ/mol of atoms.

Geometry as POSCAR:
```
Li2Pt
1.0
4.313 0.000 0.000
-2.156 3.735 0.000
0.000 0.000 5.126
Li Pt
4 2
Cartesian
0.000 0.000 0.000
0.000 0.000 2.563
0.000 2.490 1.281
2.156 1.245 3.844
0.000 2.490 3.844
2.156 1.245 1.281
```